Entry 1:
AuSe2F: optimized geometry, PBE.

## Properties
VASP energy = -3.328 eV per atom
Excess energy over the best structure of this formula in the dataset = 22 kJ/mol of formula units
Uncorrected formation energy = -28.8 kJ per mole of atoms

Cell: 5.8048 5.8048 5.8048 Å, 46.61 46.61 46.61°
With the nearest neighbours (Å) after each atom.
Fractional positions:
Se 0.1567 0.1567 0.1567  1 Au 2.43, 3 F 2.66, 3 Se 2.67
Se 0.8433 0.8433 0.8433  1 Au 2.43, 3 F 2.66, 3 Se 2.67
F 0.5000 0.5000 0.5000  6 Se 2.66
Au 0.0000 0.0000 0.0000  2 Se 2.43

***

Entry 2:
AuSe2F: optimized geometry, PBE.

## Properties
VASP energy = -3.384 eV per atom
Excess energy over the best structure of this formula in the dataset = 0 kJ/mol of formula units
Uncorrected formation energy = -34.2 kJ per mole of atoms

Cell: 6.2939 6.2939 6.2939 Å, 35.30 35.30 35.30°
With the nearest neighbours (Å) after each atom.
Fractional positions:
Se 0.7559 0.7559 0.7559  3 Au 2.59, 3 F 2.71
Se 0.2441 0.2441 0.2441  3 Au 2.59, 3 F 2.71
F 0.0000 0.0000 0.0000  6 Se 2.71
Au 0.5000 0.5000 0.5000  6 Se 2.59

***

Entry 3:
AuSe3F: optimized geometry, PBE.

## Properties
VASP energy = -2.487 eV per atom
Excess energy over the best structure of this formula in the dataset = 4 kJ/mol of formula units
Uncorrected formation energy = 61.1 kJ per mole of atoms

Cell: 4.6729 4.6729 4.6729 Å, 90.00 90.00 90.00°
With the nearest neighbours (Å) after each atom.
Fractional positions:
Au 0.5000 0.5000 0.5000  12 Se 3.30
Se 0.5000 0.0000 0.0000  2 F 2.34
Se 0.0000 0.5000 0.0000  2 F 2.34
Se 0.0000 0.0000 0.5000  2 F 2.34
F 0.0000 0.0000 0.0000  6 Se 2.34

***

Entry 4:
AuSeF2: optimized geometry, PBE.

## Properties
VASP energy = -3.060 eV per atom
Excess energy over the best structure of this formula in the dataset = 107 kJ/mol of formula units
Uncorrected formation energy = -41.9 kJ per mole of atoms

Cell: 8.4766 8.4766 8.4766 Å, 19.99 19.99 19.99°
With the nearest neighbours (Å) after each atom.
Fractional positions:
F 0.9181 0.9181 0.9181  1 Au 2.04
F 0.0819 0.0819 0.0819  1 Au 2.04
Se 0.5000 0.5000 0.5000  6 F 2.71, 6 Se 2.94
Au 0.0000 0.0000 0.0000  2 F 2.04

***

Entry 5:
Au3SeF: optimized geometry, PBE.

## Properties
VASP energy = -2.868 eV per atom
Excess energy over the best structure of this formula in the dataset = 0 kJ/mol of formula units
Uncorrected formation energy = 16.3 kJ per mole of atoms

Cell: 4.9310 4.9310 4.9310 Å, 90.00 90.00 90.00°
With the nearest neighbours (Å) after each atom.
Fractional positions:
Au 0.5000 0.0000 0.0000  2 Se 2.47
Au 0.0000 0.0000 0.5000  2 Se 2.47
Au 0.0000 0.5000 0.0000  2 Se 2.47
Se 0.0000 0.0000 0.0000  6 Au 2.47
F 0.5000 0.5000 0.5000  12 Au 3.49

***

Entry 6:
Au3SeF: optimized geometry, PBE.

## Properties
VASP energy = -2.631 eV per atom
Excess energy over the best structure of this formula in the dataset = 115 kJ/mol of formula units
Uncorrected formation energy = 39.2 kJ per mole of atoms

Cell: 4.6424 4.6424 4.6424 Å, 90.00 90.00 90.00°
With the nearest neighbours (Å) after each atom.
Fractional positions:
Se 0.5000 0.5000 0.5000  12 Au 3.28
Au 0.5000 0.0000 0.0000  2 F 2.32
Au 0.0000 0.0000 0.5000  2 F 2.32
Au 0.0000 0.5000 0.0000  2 F 2.32
F 0.0000 0.0000 0.0000  6 Au 2.32

***

Entry 7:
AuSe2F: optimized geometry, PBE.

## Properties
VASP energy = -3.103 eV per atom
Excess energy over the best structure of this formula in the dataset = 108 kJ/mol of formula units
Uncorrected formation energy = -7.1 kJ per mole of atoms

Cell: 4.5542 4.5542 4.5542 Å, 60.00 60.00 60.00°
With the nearest neighbours (Å) after each atom.
Fractional positions:
F 0.0000 0.0000 0.0000  8 Se 2.79
Se 0.7500 0.7500 0.7500  4 Au 2.79, 4 F 2.79
Se 0.2500 0.2500 0.2500  4 Au 2.79, 4 F 2.79
Au 0.5000 0.5000 0.5000  8 Se 2.79

***

Entry 8:
AuSe3F: optimized geometry, PBE.

## Properties
VASP energy = -2.496 eV per atom
Excess energy over the best structure of this formula in the dataset = 0 kJ/mol of formula units
Uncorrected formation energy = 60.2 kJ per mole of atoms

Cell: 5.0822 5.0822 5.0822 Å, 90.00 90.00 90.00°
With the nearest neighbours (Å) after each atom.
Fractional positions:
Se 0.0000 0.5000 0.0000  2 Au 2.54
Se 0.5000 0.0000 0.0000  2 Au 2.54
Se 0.0000 0.0000 0.5000  2 Au 2.54
F 0.5000 0.5000 0.5000  12 Se 3.59
Au 0.0000 0.0000 0.0000  6 Se 2.54

***

Entry 9:
AuSe2F: optimized geometry, PBE.

## Properties
VASP energy = -2.941 eV per atom
Excess energy over the best structure of this formula in the dataset = 171 kJ/mol of formula units
Uncorrected formation energy = 8.5 kJ per mole of atoms

Cell: 5.6930 5.6930 7.1867 Å, 66.67 66.67 90.00°
With the nearest neighbours (Å) after each atom.
Fractional positions:
F 0.2500 0.7500 0.5000  4 Se 2.51
F 0.5000 0.5000 0.0000  4 Se 2.51
Au 0.7500 0.2500 0.5000  4 Se 2.50
Au 0.0000 0.0000 0.0000  4 Se 2.50
Se 0.6271 0.1250 0.2500  2 Au 2.50, 2 F 2.51
Se 0.8750 0.8771 0.7500  2 Au 2.50, 2 F 2.51
Se 0.1229 0.6250 0.2500  2 Au 2.50, 2 F 2.51
Se 0.3750 0.3729 0.7500  2 Au 2.50, 2 F 2.51

***

Entry 10:
AuSeF2: optimized geometry, PBE.

## Properties
VASP energy = -3.337 eV per atom
Excess energy over the best structure of this formula in the dataset = 0 kJ/mol of formula units
Uncorrected formation energy = -68.6 kJ per mole of atoms

Cell: 9.0072 9.0072 9.0072 Å, 18.54 18.54 18.54°
With the nearest neighbours (Å) after each atom.
Fractional positions:
Se 0.0000 0.0000 0.0000  2 F 1.88
Au 0.5000 0.5000 0.5000  6 Au 2.90, 6 F 3.05
F 0.0708 0.0708 0.0708  1 Se 1.88
F 0.9292 0.9292 0.9292  1 Se 1.88

***

Entry 11:
AuSeF2: optimized geometry, PBE.

## Properties
VASP energy = -2.748 eV per atom
Excess energy over the best structure of this formula in the dataset = 227 kJ/mol of formula units
Uncorrected formation energy = -11.8 kJ per mole of atoms

Cell: 4.3267 4.3267 4.3267 Å, 60.00 60.00 60.00°
With the nearest neighbours (Å) after each atom.
Fractional positions:
Au 0.5000 0.5000 0.5000  8 F 2.65
Se 0.0000 0.0000 0.0000  8 F 2.65
F 0.2500 0.2500 0.2500  4 Au 2.65, 4 Se 2.65
F 0.7500 0.7500 0.7500  4 Au 2.65, 4 Se 2.65

***

Entry 12:
Si3AuF: optimized geometry, PBE.

## Properties
VASP energy = -3.529 eV per atom
Excess energy over the best structure of this formula in the dataset = 167 kJ/mol of formula units
Uncorrected formation energy = 72.8 kJ per mole of atoms

Cell: 4.8993 4.8993 4.8993 Å, 90.00 90.00 90.00°
With the nearest neighbours (Å) after each atom.
Fractional positions:
Si 0.5000 0.0000 0.0000  2 Au 2.45
Si 0.0000 0.5000 0.0000  2 Au 2.45
Si 0.0000 0.0000 0.5000  2 Au 2.45
Au 0.0000 0.0000 0.0000  6 Si 2.45
F 0.5000 0.5000 0.5000  12 Si 3.46

***

Entry 13:
SiAuF2: optimized geometry, PBE.

## Properties
VASP energy = -3.525 eV per atom
Excess energy over the best structure of this formula in the dataset = 377 kJ/mol of formula units
Uncorrected formation energy = -40.0 kJ per mole of atoms

Cell: 4.3130 4.3130 4.3130 Å, 60.00 60.00 60.00°
With the nearest neighbours (Å) after each atom.
Fractional positions:
F 0.7500 0.7500 0.7500  4 Si 2.64, 4 Au 2.64
F 0.2500 0.2500 0.2500  4 Si 2.64, 4 Au 2.64
Si 0.0000 0.0000 0.0000  8 F 2.64
Au 0.5000 0.5000 0.5000  8 F 2.64

***

Entry 14:
Si3AuF: optimized geometry, PBE.

## Properties
VASP energy = -3.875 eV per atom
Excess energy over the best structure of this formula in the dataset = 0 kJ/mol of formula units
Uncorrected formation energy = 39.4 kJ per mole of atoms

Cell: 4.3905 4.3905 4.3905 Å, 90.00 90.00 90.00°
With the nearest neighbours (Å) after each atom.
Fractional positions:
Au 0.5000 0.5000 0.5000  12 Si 3.10
Si 0.0000 0.5000 0.0000  2 F 2.20
Si 0.5000 0.0000 0.0000  2 F 2.20
Si 0.0000 0.0000 0.5000  2 F 2.20
F 0.0000 0.0000 0.0000  6 Si 2.20

***

Entry 15:
SiAuF2: optimized geometry, PBE.

## Properties
VASP energy = -4.021 eV per atom
Excess energy over the best structure of this formula in the dataset = 185 kJ/mol of formula units
Uncorrected formation energy = -87.9 kJ per mole of atoms

Cell: 10.1570 10.1570 10.1570 Å, 16.48 16.48 16.48°
With the nearest neighbours (Å) after each atom.
Fractional positions:
Au 0.0000 0.0000 0.0000  6 Au 2.91
Si 0.5000 0.5000 0.5000  6 F 2.19
F 0.8799 0.8799 0.8799  3 Si 2.19
F 0.1201 0.1201 0.1201  3 Si 2.19

***

Entry 16:
SiAuF3: optimized geometry, PBE.

## Properties
VASP energy = -3.175 eV per atom
Excess energy over the best structure of this formula in the dataset = 390 kJ/mol of formula units
Uncorrected formation energy = -30.1 kJ per mole of atoms

Cell: 4.3171 4.3171 4.3171 Å, 90.00 90.00 90.00°
With the nearest neighbours (Å) after each atom.
Fractional positions:
F 0.0000 0.5000 0.0000  2 Au 2.16
F 0.5000 0.0000 0.0000  2 Au 2.16
F 0.0000 0.0000 0.5000  2 Au 2.16
Au 0.0000 0.0000 0.0000  6 F 2.16
Si 0.5000 0.5000 0.5000  12 F 3.05

***

Entry 17:
SiAuF2: optimized geometry, PBE.

## Properties
VASP energy = -4.501 eV per atom
Excess energy over the best structure of this formula in the dataset = 0 kJ/mol of formula units
Uncorrected formation energy = -134.1 kJ per mole of atoms

Cell: 10.2285 10.2285 10.2285 Å, 15.45 15.45 15.45°
With the nearest neighbours (Å) after each atom.
Fractional positions:
F 0.9461 0.9461 0.9461  1 Si 1.63
F 0.0539 0.0539 0.0539  1 Si 1.63
Au 0.5000 0.5000 0.5000  6 Au 2.75
Si 0.0000 0.0000 0.0000  2 F 1.63

***

Entry 18:
SiAuF3: optimized geometry, PBE.

## Properties
VASP energy = -3.983 eV per atom
Excess energy over the best structure of this formula in the dataset = 0 kJ/mol of formula units
Uncorrected formation energy = -108.0 kJ per mole of atoms

Cell: 4.1464 4.1464 4.1464 Å, 90.00 90.00 90.00°
With the nearest neighbours (Å) after each atom.
Fractional positions:
Si 0.0000 0.0000 0.0000  6 F 2.07
F 0.5000 0.0000 0.0000  2 Si 2.07
F 0.0000 0.0000 0.5000  2 Si 2.07
F 0.0000 0.5000 0.0000  2 Si 2.07
Au 0.5000 0.5000 0.5000  12 F 2.93

***

Entry 19:
SiAuF2: optimized geometry, PBE.

## Properties
VASP energy = -3.835 eV per atom
Excess energy over the best structure of this formula in the dataset = 257 kJ/mol of formula units
Uncorrected formation energy = -69.8 kJ per mole of atoms

Cell: 3.7868 3.7868 8.1922 Å, 76.64 76.64 90.00°
With the nearest neighbours (Å) after each atom.
Fractional positions:
F 0.5776 0.1250 0.2500  2 Si 2.29, 2 Au 2.43, 2 F 2.44
F 0.3750 0.4224 0.7500  2 Si 2.29, 2 Au 2.43, 2 F 2.44
F 0.1724 0.6250 0.2500  2 Si 2.29, 2 Au 2.43, 2 F 2.44
F 0.8750 0.8276 0.7500  2 Si 2.29, 2 Au 2.43, 2 F 2.44
Au 0.0000 0.0000 0.0000  4 F 2.43, 4 Si 2.68
Au 0.7500 0.2500 0.5000  4 F 2.43, 4 Si 2.68
Si 0.5000 0.5000 0.0000  4 F 2.29
Si 0.2500 0.7500 0.5000  4 F 2.29

***

Entry 20:
TaSiAu2F: optimized geometry, PBE.

## Properties
VASP energy = -4.302 eV per atom
Uncorrected formation energy = 80.9 kJ per mole of atoms

Cell: 5.0638 5.1263 5.0638 Å, 90.00 90.00 90.00°
With the nearest neighbours (Å) after each atom.
Fractional positions:
Au 0.5000 0.0000 0.0000  2 Ta 2.53
Au 0.0000 0.0000 0.5000  2 Ta 2.53
Si 0.0000 0.5000 0.0000  2 Ta 2.56
Ta 0.0000 0.0000 0.0000  4 Au 2.53, 2 Si 2.56
F 0.5000 0.5000 0.5000  4 Si 3.58, 8 Au 3.60

***

Entry 21:
TlSi2AuF: optimized geometry, PBE.

## Properties
VASP energy = -3.109 eV per atom
Uncorrected formation energy = 54.4 kJ per mole of atoms

Cell: 5.2313 4.4139 5.2313 Å, 90.00 90.00 90.00°
With the nearest neighbours (Å) after each atom.
Fractional positions:
Si 0.0000 0.0000 0.5000  2 Tl 2.62
Si 0.5000 0.0000 0.0000  2 Tl 2.62
Tl 0.0000 0.0000 0.0000  2 F 2.21
F 0.0000 0.5000 0.0000  2 Tl 2.21
Au 0.5000 0.5000 0.5000  8 Si 3.42, 4 F 3.70

***

Entry 22:
Y2SiAuF: optimized geometry, PBE.

## Properties
VASP energy = -4.909 eV per atom
Uncorrected formation energy = -20.2 kJ per mole of atoms

Cell: 5.5197 4.2815 5.5197 Å, 90.00 90.00 90.00°
With the nearest neighbours (Å) after each atom.
Fractional positions:
Y 0.0000 0.0000 0.5000  2 Au 2.76
Y 0.5000 0.0000 0.0000  2 Au 2.76
Si 0.5000 0.5000 0.5000  8 Y 3.49, 4 F 3.90
Au 0.0000 0.0000 0.0000  2 F 2.14
F 0.0000 0.5000 0.0000  2 Au 2.14

***

Entry 23:
Sm4Au2F: optimized geometry, PBE.

## Properties
VASP energy = -5.006 eV per atom
Uncorrected formation energy = -106.7 kJ per mole of atoms

Cell: 4.8549 4.8549 8.3320 Å, 73.06 73.06 90.00°
With the nearest neighbours (Å) after each atom.
Fractional positions:
Sm 0.5000 0.0000 0.0000  2 F 2.43
Sm 0.8096 0.8096 0.3808  1 Au 2.81, 1 F 2.89
Sm 0.1904 0.1904 0.6192  1 Au 2.81, 1 F 2.89
Sm 0.0000 0.5000 0.0000  2 F 2.43
Au 0.3753 0.3753 0.2495  5 Sm 2.81-3.08
Au 0.6247 0.6247 0.7505  5 Sm 2.81-3.08
F 0.0000 0.0000 0.0000  4 Sm 2.43